DFT (PBE with a Hubbard U) results for NaSm2CrO5 after structural relaxation.

```
18
Lattice="5.7585 0.0000 0.0000 0.0000 6.6663 0.0000 0.0000 0.0000 6.6663" Properties=species:S:1:pos:R:3 pbc="T T T"
Na 0.0000 3.3331 3.3331
Na 0.0000 0.0000 0.0000
Sm 2.8792 4.5198 1.1867
Sm 2.8792 2.1465 5.4796
Sm 2.8792 1.1867 2.1465
Sm 2.8792 5.4796 4.5198
O 1.3981 4.2415 5.7579
O 2.8792 0.0000 0.0000
O 1.3981 0.9084 4.2415
O 4.3603 2.4248 0.9084
O 4.3603 0.9084 4.2415
O 1.3981 5.7579 2.4248
O 2.8792 3.3331 3.3331
O 4.3603 5.7579 2.4248
O 1.3981 2.4248 0.9084
O 4.3603 4.2415 5.7579
Cr 0.0000 0.0000 3.3331
Cr 0.0000 3.3331 0.0000
```

Output
E_tot (eV/atom): -7.29
Space group: P4/mbm
Magnetic moment (μB/cell): 5.99
Calculated volume (Å³/cell): 256